Entry 1:
Compound: Li4WO5
Source: Alexandria via LeMat-Bulk
Functional: PBEsol
Structure: relaxed

Values from the calculation:
As for the raw formation energy: -51.6 kcal/mol of atoms. For the energy above the most stable polymorph in this dataset, the calculation gives 0.000 eV/atom. The magnetic moment comes out at 0.00 μB/cell.

abc: 5.055 5.078 7.700
angles: 108.66 101.76 101.18
Positions (direct):
Li 0.000 0.000 0.000
Li 0.070 0.194 0.697
Li 0.196 0.387 0.390
Li 0.279 0.594 0.098
Li 0.500 0.000 0.500
Li 0.721 0.406 0.902
Li 0.804 0.613 0.610
Li 0.930 0.806 0.303
W 0.391 0.781 0.782
W 0.609 0.219 0.218
O 0.072 0.610 0.846
O 0.164 0.811 0.570
O 0.277 0.010 0.249
O 0.368 0.176 0.958
O 0.449 0.428 0.663
O 0.551 0.572 0.337
O 0.632 0.824 0.042
O 0.723 0.990 0.751
O 0.836 0.189 0.430
O 0.928 0.390 0.154

***

Entry 2:
Compound: Li2Zn2W2O9
Source: Alexandria via LeMat-Bulk
Functional: PBEsol
Structure: relaxed

Values from the calculation:
As for the raw formation energy: -45.6 kcal/mol of atoms. The magnetic moment comes out at 0.00 μB/cell.

abc: 5.134 5.134 14.102
angles: 90.00 90.00 120.00
Positions (direct):
Li 0.333 0.667 0.015
Li 0.333 0.667 0.515
Li 0.667 0.333 0.485
Li 0.667 0.333 0.985
Zn 0.333 0.667 0.305
Zn 0.333 0.667 0.805
Zn 0.667 0.333 0.195
Zn 0.667 0.333 0.695
W 0.000 0.000 0.140
W 0.000 0.000 0.360
W 0.000 0.000 0.640
W 0.000 0.000 0.860
O 0.000 0.282 0.250
O 0.000 0.718 0.750
O 0.026 0.333 0.913
O 0.026 0.694 0.413
O 0.282 0.000 0.250
O 0.282 0.282 0.750
O 0.306 0.333 0.413
O 0.306 0.974 0.913
O 0.333 0.026 0.587
O 0.333 0.306 0.087
O 0.667 0.694 0.913
O 0.667 0.974 0.413
O 0.694 0.026 0.087
O 0.694 0.667 0.587
O 0.718 0.000 0.750
O 0.718 0.718 0.250
O 0.974 0.306 0.587
O 0.974 0.667 0.087

***

Entry 3:
Compound: LiYO2
Source: Alexandria via LeMat-Bulk
Functional: PBEsol
Structure: relaxed

Values from the calculation:
As for the raw formation energy: -63.4 kcal/mol of atoms. The magnetic moment comes out at 0.00 μB/cell.

abc: 6.147 6.147 6.147
angles: 135.73 135.73 64.40
Positions (direct):
Li 0.000 0.000 0.000
Li 0.750 0.250 0.500
Y 0.250 0.750 0.500
Y 0.500 0.500 0.000
O 0.110 0.625 0.985
O 0.375 0.360 0.485
O 0.640 0.125 0.015
O 0.875 0.890 0.515

***

Entry 4:
Compound: LiYO2
Source: Alexandria via LeMat-Bulk
Functional: PBEsol
Structure: relaxed

Values from the calculation:
As for the raw formation energy: -66.2 kcal/mol of atoms. The magnetic moment comes out at 0.00 μB/cell.

abc: 6.082 6.082 6.082
angles: 32.94 32.94 32.94
Positions (direct):
Li 0.000 0.000 0.000
Y 0.500 0.500 0.500
O 0.103 0.103 0.103
O 0.897 0.897 0.897

***

Entry 5:
Compound: Li4Y3ZrO8
Source: Alexandria via LeMat-Bulk
Functional: PBEsol
Structure: relaxed

Values from the calculation:
As for the raw formation energy: -65.8 kcal/mol of atoms. The magnetic moment comes out at 0.00 μB/cell.

abc: 5.670 5.670 6.260
angles: 90.00 90.00 113.11
Positions (direct):
Li 0.000 0.000 0.000
Li 0.000 0.500 0.247
Li 0.500 0.000 0.753
Li 0.500 0.500 0.500
Y 0.000 0.500 0.749
Y 0.500 0.000 0.251
Y 0.500 0.500 0.000
Zr 0.000 0.000 0.500
O 0.230 0.770 0.500
O 0.239 0.250 0.741
O 0.250 0.239 0.259
O 0.259 0.741 0.000
O 0.741 0.259 0.000
O 0.750 0.761 0.259
O 0.761 0.750 0.741
O 0.770 0.230 0.500

***

Entry 6:
Compound: LiZnO2
Source: Alexandria via LeMat-Bulk
Functional: PBEsol
Structure: relaxed

Values from the calculation:
As for the raw formation energy: -28.2 kcal/mol of atoms. The magnetic moment comes out at 1.81 μB/cell.

abc: 5.507 5.507 5.507
angles: 132.99 132.99 68.68
Positions (direct):
Li 0.000 0.000 0.000
Li 0.750 0.250 0.500
Zn 0.250 0.750 0.500
Zn 0.500 0.500 0.000
O 0.134 0.625 0.009
O 0.375 0.384 0.509
O 0.616 0.125 0.991
O 0.875 0.866 0.491

***

Entry 7:
Compound: Li6ZnO4
Source: Alexandria via LeMat-Bulk
Functional: PBEsol
Structure: relaxed

Values from the calculation:
As for the raw formation energy: -41.6 kcal/mol of atoms. The magnetic moment comes out at 0.00 μB/cell.

abc: 6.489 6.489 4.628
angles: 90.00 90.00 90.00
Positions (direct):
Li 0.032 0.532 0.250
Li 0.032 0.968 0.250
Li 0.250 0.250 0.205
Li 0.250 0.250 0.705
Li 0.468 0.532 0.250
Li 0.468 0.968 0.250
Li 0.532 0.032 0.750
Li 0.532 0.468 0.750
Li 0.750 0.750 0.295
Li 0.750 0.750 0.795
Li 0.968 0.032 0.750
Li 0.968 0.468 0.750
Zn 0.250 0.750 0.750
Zn 0.750 0.250 0.250
O 0.014 0.250 0.466
O 0.250 0.014 0.966
O 0.250 0.486 0.966
O 0.486 0.250 0.466
O 0.514 0.750 0.534
O 0.750 0.514 0.034
O 0.750 0.986 0.034
O 0.986 0.750 0.534

***

Entry 8:
Compound: LiZnO2
Source: Alexandria via LeMat-Bulk
Functional: PBEsol
Structure: relaxed

Values from the calculation:
As for the raw formation energy: -30.2 kcal/mol of atoms. The magnetic moment comes out at 1.02 μB/cell.

abc: 5.067 5.067 5.067
angles: 33.86 33.86 33.86
Positions (direct):
Li 0.000 0.000 0.000
Zn 0.500 0.500 0.500
O 0.246 0.246 0.246
O 0.754 0.754 0.754

***

Entry 9:
Compound: LiZnO2
Source: Alexandria via LeMat-Bulk
Functional: PBEsol
Structure: relaxed

Values from the calculation:
As for the raw formation energy: -30.5 kcal/mol of atoms. The magnetic moment comes out at 1.56 μB/cell.

abc: 5.137 5.137 5.137
angles: 132.82 132.82 68.93
Positions (direct):
Li 0.375 0.625 0.750
Li 0.625 0.375 0.250
Zn 0.125 0.875 0.250
Zn 0.875 0.125 0.750
O 0.108 0.358 0.750
O 0.358 0.108 0.250
O 0.642 0.892 0.750
O 0.892 0.642 0.250

***

Entry 10:
Compound: Li8ZrO6
Source: Alexandria via LeMat-Bulk
Functional: PBEsol
Structure: relaxed

Values from the calculation:
As for the raw formation energy: -49.8 kcal/mol of atoms. For the energy above the most stable polymorph in this dataset, the calculation gives 0.076 eV/atom. The magnetic moment comes out at 0.01 μB/cell.

abc: 5.647 5.647 10.744
angles: 90.00 90.00 120.00
Positions (direct):
Li 0.000 0.317 0.000
Li 0.000 0.417 0.643
Li 0.000 0.583 0.143
Li 0.000 0.683 0.500
Li 0.317 0.000 0.000
Li 0.317 0.317 0.500
Li 0.333 0.667 0.364
Li 0.333 0.667 0.864
Li 0.417 0.000 0.643
Li 0.417 0.417 0.143
Li 0.583 0.000 0.143
Li 0.583 0.583 0.643
Li 0.667 0.333 0.364
Li 0.667 0.333 0.864
Li 0.683 0.000 0.500
Li 0.683 0.683 0.000
Zr 0.000 0.000 0.272
Zr 0.000 0.000 0.772
O 0.000 0.000 0.087
O 0.000 0.000 0.587
O 0.000 0.334 0.820
O 0.000 0.666 0.320
O 0.333 0.667 0.055
O 0.333 0.667 0.555
O 0.334 0.000 0.820
O 0.334 0.334 0.320
O 0.666 0.000 0.320
O 0.666 0.666 0.820
O 0.667 0.333 0.055
O 0.667 0.333 0.555

***

Entry 11:
Compound: Li3ZrO
Source: Alexandria via LeMat-Bulk
Functional: PBEsol
Structure: relaxed

Values from the calculation:
As for the raw formation energy: 37.4 kcal/mol of atoms. The magnetic moment comes out at 3.95 μB/cell.

abc: 5.401 5.401 5.401
angles: 90.00 90.00 90.00
Positions (direct):
Li 0.000 0.000 0.500
Li 0.000 0.500 0.000
Li 0.500 0.000 0.000
Zr 0.000 0.000 0.000
O 0.500 0.500 0.500

***

Entry 12:
Compound: Li4Zr3O8
Source: Alexandria via LeMat-Bulk
Functional: PBEsol
Structure: relaxed

Values from the calculation:
As for the raw formation energy: -66.1 kcal/mol of atoms. For the energy above the most stable polymorph in this dataset, the calculation gives 0.000 eV/atom. The magnetic moment comes out at 0.00 μB/cell.

abc: 5.337 6.133 10.001
angles: 90.00 101.61 90.00
Positions (direct):
Li 0.000 0.115 0.250
Li 0.000 0.885 0.750
Li 0.264 0.371 0.498
Li 0.264 0.629 0.998
Li 0.500 0.164 0.750
Li 0.500 0.836 0.250
Li 0.736 0.371 0.002
Li 0.736 0.629 0.502
Zr 0.000 0.400 0.750
Zr 0.000 0.600 0.250
Zr 0.268 0.139 0.024
Zr 0.268 0.861 0.524
Zr 0.732 0.139 0.476
Zr 0.732 0.861 0.976
O 0.105 0.372 0.126
O 0.105 0.628 0.626
O 0.115 0.130 0.622
O 0.115 0.870 0.122
O 0.347 0.360 0.885
O 0.347 0.640 0.385
O 0.367 0.099 0.387
O 0.367 0.901 0.887
O 0.633 0.099 0.113
O 0.633 0.901 0.613
O 0.653 0.360 0.615
O 0.653 0.640 0.115
O 0.885 0.130 0.878
O 0.885 0.870 0.378
O 0.895 0.372 0.374
O 0.895 0.628 0.874

***

Entry 13:
Compound: LiZr2O4
Source: Alexandria via LeMat-Bulk
Functional: PBEsol
Structure: relaxed

Values from the calculation:
As for the raw formation energy: -68.7 kcal/mol of atoms. The magnetic moment comes out at 0.00 μB/cell.

abc: 10.635 6.036 5.076
angles: 90.00 90.00 90.00
Positions (direct):
Li 0.107 0.250 0.061
Li 0.393 0.750 0.561
Li 0.607 0.250 0.439
Li 0.893 0.750 0.939
Zr 0.000 0.000 0.500
Zr 0.000 0.500 0.500
Zr 0.218 0.750 0.032
Zr 0.282 0.250 0.532
Zr 0.500 0.000 0.000
Zr 0.500 0.500 0.000
Zr 0.718 0.750 0.468
Zr 0.782 0.250 0.968
O 0.063 0.750 0.784
O 0.105 0.250 0.707
O 0.173 0.016 0.276
O 0.173 0.484 0.276
O 0.327 0.516 0.776
O 0.327 0.984 0.776
O 0.395 0.750 0.207
O 0.437 0.250 0.284
O 0.563 0.750 0.716
O 0.605 0.250 0.793
O 0.673 0.016 0.224
O 0.673 0.484 0.224
O 0.827 0.516 0.724
O 0.827 0.984 0.724
O 0.895 0.750 0.293
O 0.937 0.250 0.216

***

Entry 14:
Compound: Li2ZrO3
Source: Alexandria via LeMat-Bulk
Functional: PBEsol
Structure: relaxed

Values from the calculation:
As for the raw formation energy: -64.0 kcal/mol of atoms. The magnetic moment comes out at 0.00 μB/cell.

abc: 5.236 5.236 5.359
angles: 100.76 100.76 118.92
Positions (direct):
Li 0.076 0.924 0.750
Li 0.243 0.757 0.250
Li 0.757 0.243 0.750
Li 0.924 0.076 0.250
Zr 0.409 0.591 0.750
Zr 0.591 0.409 0.250
O 0.000 0.500 0.500
O 0.192 0.344 0.990
O 0.344 0.192 0.490
O 0.500 0.000 0.000
O 0.656 0.808 0.510
O 0.808 0.656 0.010

***

Entry 15:
Compound: Li4Zr3O8
Source: Alexandria via LeMat-Bulk
Functional: PBEsol
Structure: relaxed

Values from the calculation:
As for the raw formation energy: -65.5 kcal/mol of atoms. For the energy above the most stable polymorph in this dataset, the calculation gives 0.025 eV/atom. The magnetic moment comes out at 0.00 μB/cell.

abc: 5.398 5.398 6.114
angles: 90.00 90.00 111.92
Positions (direct):
Li 0.000 0.000 0.000
Li 0.000 0.500 0.745
Li 0.500 0.000 0.255
Li 0.500 0.500 0.500
Zr 0.000 0.000 0.500
Zr 0.000 0.500 0.224
Zr 0.500 0.000 0.776
O 0.218 0.265 0.268
O 0.233 0.767 0.000
O 0.240 0.760 0.500
O 0.265 0.218 0.732
O 0.735 0.782 0.732
O 0.760 0.240 0.500
O 0.767 0.233 0.000
O 0.782 0.735 0.268

***

Entry 16:
Compound: Li8ZrO6
Source: Alexandria via LeMat-Bulk
Functional: PBEsol
Structure: relaxed

Values from the calculation:
As for the raw formation energy: -51.5 kcal/mol of atoms. For the energy above the most stable polymorph in this dataset, the calculation gives 0.000 eV/atom. The magnetic moment comes out at 0.00 μB/cell.

abc: 6.021 6.021 6.021
angles: 53.83 53.83 53.83
Positions (direct):
Li 0.005 0.734 0.396
Li 0.156 0.156 0.156
Li 0.266 0.604 0.995
Li 0.396 0.005 0.734
Li 0.604 0.995 0.266
Li 0.734 0.396 0.005
Li 0.844 0.844 0.844
Li 0.995 0.266 0.604
Zr 0.500 0.500 0.500
O 0.112 0.408 0.736
O 0.264 0.888 0.592
O 0.408 0.736 0.112
O 0.592 0.264 0.888
O 0.736 0.112 0.408
O 0.888 0.592 0.264

***

Entry 17:
Compound: Li3Os
Source: Alexandria via LeMat-Bulk
Functional: PBEsol
Structure: relaxed

Values from the calculation:
For the energy above the most stable polymorph in this dataset, the calculation gives 0.484 eV/atom. The calculation puts the calculated formation energy at 0.63 eV per atom. The magnetic moment comes out at 0.02 μB/cell.

abc: 4.805 4.805 4.805
angles: 137.12 137.12 62.25
Positions (direct):
Li 0.000 0.000 0.000
Li 0.250 0.750 0.500
Li 0.750 0.250 0.500
Os 0.500 0.500 0.000

***

Entry 18:
Compound: LiOs
Source: Alexandria via LeMat-Bulk
Functional: PBEsol
Structure: relaxed

Values from the calculation:
The calculation puts the calculated formation energy at 0.23 eV per atom. The magnetic moment comes out at 0.00 μB/cell.

abc: 4.805 4.805 4.805
angles: 31.55 31.55 31.55
Positions (direct):
Li 0.000 0.000 0.000
Os 0.500 0.500 0.500

***

Entry 19:
Compound: LiOs
Source: Alexandria via LeMat-Bulk
Functional: PBEsol
Structure: relaxed

Values from the calculation:
The calculation puts the calculated formation energy at 0.12 eV per atom. The magnetic moment comes out at 0.00 μB/cell.

abc: 4.137 4.137 4.137
angles: 60.00 60.00 60.00
Positions (direct):
Li 0.125 0.125 0.125
Li 0.875 0.875 0.875
Os 0.375 0.375 0.375
Os 0.625 0.625 0.625